Entry 1:
The following is a DFT calculation (PBEsol) of crystalline Li4V3Cu3Sb2O16 at its relaxed geometry.

```
data_Li4V3Cu3Sb2O16
_chemical_formula_sum 'Li4 V3 Cu3 Sb2 O16'
_symmetry_space_group_name_H-M 'P 1'
_symmetry_Int_Tables_number 1
_cell_length_a 5.716
_cell_length_b 5.979
_cell_length_c 9.578
_cell_angle_alpha 87.74
_cell_angle_beta 89.99
_cell_angle_gamma 61.48
loop_
_symmetry_equiv_pos_as_xyz
'x,y,z'
loop_
_atom_site_label
_atom_site_fract_x
_atom_site_fract_y
_atom_site_fract_z
Li1 0.000 0.000 0.000
Li2 0.013 0.971 0.511
Li3 0.365 0.268 0.599
Li4 0.675 0.650 0.087
V1 0.186 0.154 0.279
V2 0.658 0.155 0.279
V3 0.839 0.322 0.771
Cu1 0.177 0.644 0.276
Cu2 0.356 0.799 0.784
Cu3 0.846 0.798 0.784
Sb1 0.331 0.339 0.002
Sb2 0.679 0.640 0.502
O1 0.000 0.999 0.705
O2 0.047 0.446 0.156
O3 0.155 0.186 0.893
O4 0.160 0.681 0.912
O5 0.336 0.822 0.394
O6 0.365 0.268 0.396
O7 0.488 0.023 0.146
O8 0.506 0.446 0.156
O9 0.546 0.908 0.647
O10 0.557 0.449 0.636
O11 0.659 0.186 0.893
O12 0.698 0.604 0.881
O13 0.840 0.822 0.394
O14 0.845 0.308 0.388
O15 0.992 0.015 0.192
O16 0.992 0.450 0.636
```

Results
Crystal system: triclinic
Electronic total energy: -190.46 eV for the cell shown
Density of states at the Fermi level: 8.73 states/eV/cell
ΔE_f (raw): -1.700 eV per atom

=====

Entry 2:
The following is a DFT calculation (PBEsol) of crystalline Li2Cu2Si8O19 at its relaxed geometry.

```
data_Li2Cu2Si8O19
_chemical_formula_sum 'Li4 Cu4 Si16 O38'
_symmetry_space_group_name_H-M 'C 1 2 1'
_symmetry_Int_Tables_number 5
_cell_length_a 13.624
_cell_length_b 4.955
_cell_length_c 12.359
_cell_angle_alpha 90.00
_cell_angle_beta 108.61
_cell_angle_gamma 90.00
loop_
_symmetry_equiv_pos_as_xyz
'x,y,z'
'-x,y,-z'
'x+1/2,y+1/2,z'
'-x+1/2,y+1/2,-z'
loop_
_atom_site_label
_atom_site_fract_x
_atom_site_fract_y
_atom_site_fract_z
Li1 0.112 0.000 0.139
Cu1 0.199 0.241 0.905
Si1 0.007 0.859 0.668
Si2 0.072 0.717 0.923
Si3 0.122 0.371 0.431
Si4 0.217 0.150 0.669
O1 0.000 0.829 0.000
O2 0.001 0.843 0.798
O3 0.021 0.566 0.392
O4 0.080 0.395 0.926
O5 0.084 0.064 0.399
O6 0.119 0.957 0.668
O7 0.180 0.378 0.568
O8 0.182 0.883 0.966
O9 0.199 0.452 0.360
O10 0.233 0.788 0.207
```

Results
Crystal system: monoclinic
Electronic total energy: -463.95 eV for the cell shown
Density of states at the Fermi level: 7.05 states/eV/cell
ΔE_f (raw): -2.376 eV per atom

=====

Entry 3:
The following is a DFT calculation (PBEsol) of crystalline Li4CuSi2O7 at its relaxed geometry.

```
data_Li4CuSi2O7
_chemical_formula_sum 'Li8 Cu2 Si4 O14'
_symmetry_space_group_name_H-M 'C 1 2 1'
_symmetry_Int_Tables_number 5
_cell_length_a 9.466
_cell_length_b 4.453
_cell_length_c 6.707
_cell_angle_alpha 90.00
_cell_angle_beta 100.18
_cell_angle_gamma 90.00
loop_
_symmetry_equiv_pos_as_xyz
'x,y,z'
'-x,y,-z'
'x+1/2,y+1/2,z'
'-x+1/2,y+1/2,-z'
loop_
_atom_site_label
_atom_site_fract_x
_atom_site_fract_y
_atom_site_fract_z
Li1 0.146 0.000 0.435
Li2 0.211 0.503 0.144
Cu1 0.000 0.010 0.000
Si1 0.076 0.522 0.711
O1 0.000 0.327 0.500
O2 0.051 0.732 0.225
O3 0.130 0.277 0.889
O4 0.206 0.720 0.655
```

Results
Crystal system: monoclinic
Electronic total energy: -183.37 eV for the cell shown
Offset from the most stable computed form: 0.0 meV per atom
ΔE_f (raw): -2.232 eV per atom

=====

Entry 4:
The following is a DFT calculation (PBEsol) of crystalline LiCu3Si2O6 at its relaxed geometry.

```
data_LiCu3Si2O6
_chemical_formula_sum 'Li2 Cu6 Si4 O12'
_symmetry_space_group_name_H-M 'C 1 2/m 1'
_symmetry_Int_Tables_number 12
_cell_length_a 4.784
_cell_length_b 8.279
_cell_length_c 5.837
_cell_angle_alpha 90.00
_cell_angle_beta 105.89
_cell_angle_gamma 90.00
loop_
_symmetry_equiv_pos_as_xyz
'x,y,z'
'-x,-y,-z'
'-x,y,-z'
'x,-y,z'
'x+1/2,y+1/2,z'
'-x+1/2,-y+1/2,-z'
'-x+1/2,y+1/2,-z'
'x+1/2,-y+1/2,z'
loop_
_atom_site_label
_atom_site_fract_x
_atom_site_fract_y
_atom_site_fract_z
Li1 0.000 0.000 0.000
Cu1 0.000 0.172 0.500
Cu2 0.000 0.500 0.500
Si1 0.000 0.333 0.000
O1 0.072 0.500 0.829
O2 0.128 0.185 0.830
```

Results
Crystal system: monoclinic
Electronic total energy: -159.88 eV for the cell shown
Density of states at the Fermi level: 0.00 states/eV/cell
ΔE_f (raw): -1.832 eV per atom

=====

Entry 5:
The following is a DFT calculation (PBEsol) of crystalline Li10CuSi2O10 at its relaxed geometry.

```
data_Li10CuSi2O10
_chemical_formula_sum 'Li40 Cu4 Si8 O40'
_symmetry_space_group_name_H-M 'C 1 2/m 1'
_symmetry_Int_Tables_number 12
_cell_length_a 29.928
_cell_length_b 6.078
_cell_length_c 5.090
_cell_angle_alpha 90.00
_cell_angle_beta 99.75
_cell_angle_gamma 90.00
loop_
_symmetry_equiv_pos_as_xyz
'x,y,z'
'-x,-y,-z'
'-x,y,-z'
'x,-y,z'
'x+1/2,y+1/2,z'
'-x+1/2,-y+1/2,-z'
'-x+1/2,y+1/2,-z'
'x+1/2,-y+1/2,z'
loop_
_atom_site_label
_atom_site_fract_x
_atom_site_fract_y
_atom_site_fract_z
Li1 0.005 0.000 0.263
Li2 0.077 0.210 0.861
Li3 0.133 0.291 0.237
Li4 0.137 0.500 0.766
Li5 0.173 0.000 0.935
Li6 0.195 0.252 0.601
Li7 0.231 0.000 0.322
Cu1 0.038 0.500 0.067
Si1 0.101 0.000 0.482
Si2 0.220 0.500 0.128
O1 0.000 0.253 0.000
O2 0.052 0.000 0.578
O3 0.097 0.500 0.029
O4 0.101 0.000 0.158
O5 0.130 0.217 0.614
O6 0.195 0.273 0.219
O7 0.212 0.500 0.801
O8 0.227 0.000 0.727
```

Results
Crystal system: monoclinic
Electronic total energy: -546.90 eV for the cell shown
Density of states at the Fermi level: 2.12 states/eV/cell
ΔE_f (raw): -2.119 eV per atom

=====

Entry 6:
The following is a DFT calculation (PBEsol) of crystalline Li2Cu5Si4O14 at its relaxed geometry.

```
data_Li2Cu5Si4O14
_chemical_formula_sum 'Li2 Cu5 Si4 O14'
_symmetry_space_group_name_H-M 'P -1'
_symmetry_Int_Tables_number 2
_cell_length_a 5.438
_cell_length_b 7.405
_cell_length_c 7.778
_cell_angle_alpha 64.98
_cell_angle_beta 89.99
_cell_angle_gamma 73.75
loop_
_symmetry_equiv_pos_as_xyz
'x,y,z'
'-x,-y,-z'
loop_
_atom_site_label
_atom_site_fract_x
_atom_site_fract_y
_atom_site_fract_z
Li1 0.238 0.389 0.447
Cu1 0.000 0.500 0.000
Cu2 0.083 0.110 0.815
Cu3 0.329 0.078 0.284
Si1 0.197 0.718 0.595
Si2 0.497 0.272 0.858
O1 0.036 0.317 0.267
O2 0.104 0.676 0.419
O3 0.206 0.848 0.038
O4 0.286 0.923 0.545
O5 0.300 0.272 0.016
O6 0.412 0.162 0.730
O7 0.464 0.519 0.714
```

Results
Crystal system: triclinic
Electronic total energy: -166.51 eV for the cell shown
Density of states at the Fermi level: 2.14 states/eV/cell
ΔE_f (raw): -1.777 eV per atom